# 1
A relaxed Ca2Ti3O8 crystal, computed with GGA-PBEsol.

a b c (Å): 6.0254 6.0254 10.4527
angles (deg): 90.00 90.00 120.00
Space group P6_3mc (No. 186)
Symmetry-distinct sites (fractional):
Ca1 0.3333 0.6667 0.0000 [2 per cell]
Ca2 0.3333 0.6667 0.4057 [2 per cell]
Ti1 0.1630 0.3260 0.6844 [6 per cell]
O1 0.0000 0.0000 0.0851 [2 per cell]
O2 0.0457 0.5229 0.5796 [6 per cell]
O3 0.1561 0.3123 0.2752 [6 per cell]
O4 0.3333 0.6667 0.7852 [2 per cell]

Total moment (μB per cell): 0.00
Density (kg/m3): 3555
Crystal system: hexagonal
N(E_F) (states/eV/f.u.): 0.00
Energy above the most stable polymorph in this dataset (meV/atom): 100
Total DFT energy (no corrections) (eV per cell): -222.09

# 2
A relaxed CaTi2O5 crystal, computed with GGA-PBEsol.

a b c (Å): 3.5947 11.5760 4.8910
angles (deg): 90.00 90.00 90.00
Space group Pmmn (No. 59, origin choice 2)
Symmetry-distinct sites (fractional):
Ca1 0.2500 0.2500 0.1384 [2 per cell]
Ti1 0.2500 0.5981 0.3932 [4 per cell]
O1 0.2500 0.0758 0.4665 [4 per cell]
O2 0.2500 0.6278 0.0492 [4 per cell]
O3 0.2500 0.7500 0.5390 [2 per cell]

Total moment (μB per cell): 0.00
Density (kg/m3): 3522
Crystal system: orthorhombic
N(E_F) (states/eV/f.u.): 0.00
Energy above the most stable polymorph in this dataset (meV/atom): 0
Total DFT energy (no corrections) (eV per cell): -139.97